First-principles (PBE-GGA) data for crystalline Re2HgW at its relaxed geometry, as listed in the Alexandria database.

Unit cell a=2.766 b=2.766 c=9.519 alpha=90.00 beta=90.00 gamma=112.40
Element x y z (fractional)
1 Re 0.000 0.000 0.000
2 Re 0.500 0.500 0.226
3 Hg 0.000 0.000 0.498
4 W 0.500 0.500 0.770

## Properties
- total energy (eV/atom) = -8.9629
- M_tot (Bohr magnetons per cell) = 0.0
- Fermi-level density of states (states/eV per atom) = 0.824

=====

First-principles (PBE-GGA) data for crystalline NdScPt2 at its relaxed geometry, as listed in the Alexandria database.

Unit cell a=5.817 b=4.513 c=7.023 alpha=90.00 beta=111.94 gamma=90.00
Element x y z (fractional)
1 Nd 0.181 0.250 0.391
2 Nd 0.819 0.750 0.609
3 Sc 0.368 0.750 0.097
4 Sc 0.632 0.250 0.903
5 Pt 0.113 0.250 0.902
6 Pt 0.366 0.750 0.716
7 Pt 0.634 0.250 0.284
8 Pt 0.887 0.750 0.098

## Properties
- excess energy over the best structure of this formula in the dataset (eV per atom) = 0.0000
- total energy (eV/atom) = -6.9465
- M_tot (Bohr magnetons per cell) = 0.0
- Fermi-level density of states (states/eV per atom) = 0.669

=====

First-principles (PBE-GGA) data for crystalline Dy4Tm3Ga4 at its relaxed geometry, as listed in the Alexandria database.

Unit cell a=10.094 b=10.094 c=10.094 alpha=159.95 beta=127.27 gamma=56.97
Element x y z (fractional)
1 Dy 0.019 0.835 0.184
2 Dy 0.349 0.165 0.184
3 Dy 0.651 0.835 0.816
4 Dy 0.981 0.165 0.816
5 Tm 0.000 0.500 0.500
6 Tm 0.405 0.405 0.000
7 Tm 0.595 0.595 0.000
8 Ga 0.273 0.773 0.500
9 Ga 0.278 0.000 0.278
10 Ga 0.722 0.000 0.722
11 Ga 0.727 0.227 0.500

## Properties
- total energy (eV/atom) = -4.4068
- M_tot (Bohr magnetons per cell) = 0.0
- Fermi-level density of states (states/eV per atom) = 0.810

=====

First-principles (PBE-GGA) data for crystalline Y3MgN at its relaxed geometry, as listed in the Alexandria database.

Unit cell a=5.791 b=14.434 c=6.474 alpha=90.00 beta=90.00 gamma=90.00
Element x y z (fractional)
1 Y 0.005 0.122 0.066
2 Y 0.005 0.378 0.066
3 Y 0.028 0.250 0.569
4 Y 0.472 0.750 0.069
5 Y 0.495 0.622 0.566
6 Y 0.495 0.878 0.566
7 Y 0.505 0.122 0.434
8 Y 0.505 0.378 0.434
9 Y 0.528 0.250 0.931
10 Y 0.972 0.750 0.431
11 Y 0.995 0.622 0.934
12 Y 0.995 0.878 0.934
13 Mg 0.000 0.000 0.500
14 Mg 0.000 0.500 0.500
15 Mg 0.500 0.000 0.000
16 Mg 0.500 0.500 0.000
17 N 0.072 0.750 0.101
18 N 0.428 0.250 0.601
19 N 0.572 0.750 0.399
20 N 0.928 0.250 0.899

## Properties
- excess energy over the best structure of this formula in the dataset (eV per atom) = 0.2023
- total energy (eV/atom) = -6.3824
- M_tot (Bohr magnetons per cell) = 0.0
- raw formation energy (meV/atom) = -520
- Fermi-level density of states (states/eV per atom) = 0.616